# ScCo6Re | Alexandria via LeMat-Bulk | SCAN | PBEsol geometry
data_ScCo6Re
_symmetry_space_group_name_H-M 'C m m m'
_symmetry_Int_Tables_number 65
_symmetry_space_group_name_Hall '-C 2 2'
_cell_length_a 7.137
_cell_length_b 10.069
_cell_length_c 10.115
_cell_angle_alpha 90.00
_cell_angle_beta 90.00
_cell_angle_gamma 90.00
loop_
_atom_site_label
_atom_site_type_symbol
_atom_site_fract_x
_atom_site_fract_y
_atom_site_fract_z
Sc1 Sc 0.000 0.000 0.248
Sc2 Sc 0.000 0.248 0.000
Co1 Co 0.000 0.000 0.000
Co2 Co 0.000 0.000 0.500
Co3 Co 0.000 0.255 0.259
Co4 Co 0.000 0.500 0.000
Co5 Co 0.000 0.500 0.500
Co6 Co 0.242 0.377 0.130
Co7 Co 0.243 0.373 0.380
Re1 Re 0.000 0.245 0.500
Re2 Re 0.000 0.500 0.245
# * crystal system: orthorhombic
# * raw total energy: -23.525 eV/atom